Entry 1:
Material: K2PmOs3O12
Method: DFT, PBE
State: relaxed

Computed properties:
Uncorrected formation energy ... -1.46 eV per atom
N(E_F) ... 9.1 states/eV per cell

Unit cell a=7.457 b=7.457 c=7.457 alpha=59.18 beta=59.18 gamma=59.18
Each line ends with the local moment (μB).
Positions (direct):
K  0.632  0.632  0.632  0.00
K  0.368  0.368  0.368  0.00
Pm  0.000  0.000  0.000  -0.02
Os  0.500  0.000  0.000  -0.32
Os  0.000  0.500  0.000  -0.32
Os  0.000  0.000  0.500  -0.32
O  0.296  0.296  0.920  0.01
O  0.906  0.906  0.381  -0.12
O  0.381  0.906  0.906  -0.12
O  0.920  0.296  0.296  0.01
O  0.906  0.381  0.906  -0.12
O  0.296  0.920  0.296  0.01
O  0.704  0.704  0.080  0.01
O  0.094  0.094  0.619  -0.12
O  0.619  0.094  0.094  -0.12
O  0.080  0.704  0.704  0.01
O  0.094  0.619  0.094  -0.12
O  0.704  0.080  0.704  0.01


Entry 2:
Material: K2PrOs3O12
Method: DFT, PBE
State: relaxed

Computed properties:
Uncorrected formation energy ... -1.44 eV per atom
N(E_F) ... 7.6 states/eV per cell

Unit cell a=6.792 b=6.792 c=6.792 alpha=66.52 beta=66.52 gamma=66.52
Positions (direct):
K  0.600  0.600  0.600
K  0.400  0.400  0.400
Pr  0.000  0.000  0.000
Os  0.500  0.000  0.000
Os  0.000  0.500  0.000
Os  0.000  0.000  0.500
O  0.267  0.267  0.889
O  0.861  0.861  0.440
O  0.440  0.861  0.861
O  0.889  0.267  0.267
O  0.861  0.440  0.861
O  0.267  0.889  0.267
O  0.733  0.733  0.111
O  0.139  0.139  0.560
O  0.560  0.139  0.139
O  0.111  0.733  0.733
O  0.139  0.560  0.139
O  0.733  0.111  0.733


Entry 3:
Material: K3Pr3OsO8
Method: DFT, PBE
State: relaxed

Computed properties:
Uncorrected formation energy ... -2.17 eV per atom
N(E_F) ... 4.9 states/eV per cell

Unit cell a=7.088 b=7.088 c=7.510 alpha=118.16 beta=90.00 gamma=120.00
Each line ends with the local moment (μB).
Positions (direct):
K  0.000  0.000  0.000  0.00
K  0.000  0.500  0.000  0.00
K  0.500  0.500  0.000  0.00
Pr  0.500  0.000  0.500  0.00
Pr  0.500  0.500  0.500  0.00
Pr  0.000  0.500  0.500  0.00
Os  0.000  0.000  0.500  1.46
O  0.268  0.537  0.305  0.00
O  0.732  0.463  0.695  0.00
O  0.795  0.589  0.326  0.07
O  0.205  0.411  0.674  0.07
O  0.795  0.031  0.326  0.07
O  0.205  0.969  0.674  0.07
O  0.236  0.031  0.326  0.07
O  0.764  0.969  0.674  0.07


Entry 4:
Material: KPr2OsO8
Method: DFT, PBE
State: relaxed

Computed properties:
Uncorrected formation energy ... -1.95 eV per atom
N(E_F) ... 3.9 states/eV per cell

Unit cell a=5.373 b=4.303 c=7.343 alpha=73.66 beta=90.02 gamma=89.99
Positions (direct):
K  0.000  0.000  0.500
Pr  0.500  0.373  0.791
Pr  0.500  0.627  0.209
Os  0.000  0.000  0.000
O  0.001  0.657  0.225
O  0.735  0.808  0.893
O  0.737  0.192  0.108
O  0.999  0.343  0.775
O  0.265  0.192  0.107
O  0.263  0.808  0.892
O  0.500  0.829  0.497
O  0.500  0.171  0.503


Entry 5:
Material: K2OsPtO6
Method: DFT, PBE
State: relaxed

Computed properties:
Uncorrected formation energy ... -1.12 eV per atom
N(E_F) ... 1.6 states/eV per cell

Unit cell a=4.907 b=5.438 c=6.421 alpha=66.05 beta=76.52 gamma=90.46
Positions (direct):
K  0.709  0.229  0.544
K  0.291  0.771  0.456
Os  0.500  0.500  0.000
Pt  0.000  0.000  0.000
O  0.247  0.359  0.286
O  0.719  0.678  0.128
O  0.304  0.816  0.885
O  0.696  0.184  0.115
O  0.281  0.322  0.872
O  0.753  0.641  0.714


Entry 6:
Material: KOsPt2O
Method: DFT, PBE
State: relaxed

Computed properties:
Uncorrected formation energy ... 0.74 eV per atom
N(E_F) ... 3.8 states/eV per cell

Unit cell a=4.873 b=3.740 c=4.873 alpha=90.00 beta=90.00 gamma=90.00
Positions (direct):
K  0.500  0.500  0.500
Os  0.000  0.500  0.000
O  0.000  0.000  0.000
Pt  0.000  0.000  0.500
Pt  0.500  0.000  0.000


Entry 7:
Material: K2PuOs3O12
Method: DFT, PBE
State: relaxed

Computed properties:
Uncorrected formation energy ... -1.54 eV per atom
N(E_F) ... 9.3 states/eV per cell

Unit cell a=7.440 b=7.440 c=7.440 alpha=58.47 beta=58.47 gamma=58.47
Each line ends with the local moment (μB).
Positions (direct):
K  0.630  0.630  0.630  0.00
K  0.370  0.370  0.370  0.00
Pu  0.000  0.000  0.000  2.88
Os  0.500  0.000  0.000  0.04
Os  0.000  0.500  0.000  0.04
Os  0.000  0.000  0.500  0.04
O  0.304  0.304  0.927  0.02
O  0.922  0.922  0.343  -0.09
O  0.343  0.922  0.922  -0.09
O  0.927  0.304  0.304  0.02
O  0.922  0.343  0.922  -0.09
O  0.304  0.927  0.304  0.02
O  0.696  0.696  0.073  0.02
O  0.078  0.078  0.657  -0.09
O  0.657  0.078  0.078  -0.09
O  0.073  0.696  0.696  0.02
O  0.078  0.657  0.078  -0.09
O  0.696  0.073  0.696  0.02


Entry 8:
Material: K2Pu3OsO12
Method: DFT, PBE
State: relaxed

Computed properties:
Uncorrected formation energy ... -2.19 eV per atom
N(E_F) ... 10.5 states/eV per cell

Unit cell a=7.637 b=7.637 c=7.637 alpha=61.13 beta=61.13 gamma=61.13
Each line ends with the local moment (μB).
Positions (direct):
K  0.618  0.618  0.618  0.00
K  0.382  0.382  0.382  0.00
Pu  0.500  0.000  0.000  3.22
Pu  0.000  0.500  0.000  3.22
Pu  0.000  0.000  0.500  3.22
Os  0.000  0.000  0.000  1.26
O  0.323  0.323  0.933  -0.15
O  0.940  0.940  0.294  -0.01
O  0.294  0.940  0.940  -0.01
O  0.933  0.323  0.323  -0.15
O  0.940  0.294  0.940  -0.01
O  0.323  0.933  0.323  -0.15
O  0.677  0.677  0.067  -0.15
O  0.060  0.060  0.706  -0.01
O  0.706  0.060  0.060  -0.01
O  0.067  0.677  0.677  -0.15
O  0.060  0.706  0.060  -0.01
O  0.677  0.067  0.677  -0.15


Q: Among the records above, which one has the highest N(E_F)?
A: K2Pu3OsO12